(1)
## NdThTe2N (PBE)

Data for a geometry-optimized NdThTe2N structure.

It has space group P4/nmm (No. 129, origin choice 2), with a = 4.253 Å, b = 4.253 Å, c = 16.393 Å, α = 90.00°, β = 90.00° and γ = 90.00°. The inequivalent atoms are Nd at (0.250, 0.250, 0.135), Th at (0.250, 0.250, 0.566), Te at (0.250, 0.250, 0.316), Te at (0.250, 0.250, 0.918) and N at (0.250, 0.750, 0.500).

The calculation puts the total magnetic moment at 0.00 μB per cell. As for the total DFT energy (no corrections): -6.8954 eV/atom. The raw formation energy comes out at -7.7 eV per formula unit. The calculation puts the density at 7.23 Mg/m³.

***

(2)
## NdUTe2N (PBE)

Data for a geometry-optimized NdUTe2N structure.

It has space group P4/nmm (No. 129, origin choice 2), with a = 4.060 Å, b = 4.060 Å, c = 16.721 Å, α = 90.00°, β = 90.00° and γ = 90.00°. The inequivalent atoms are Nd at (0.250, 0.250, 0.146), U at (0.250, 0.250, 0.565), Te at (0.250, 0.250, 0.328), Te at (0.250, 0.250, 0.921) and N at (0.250, 0.750, 0.500).

The calculation puts the total magnetic moment at 3.50 μB per cell. As for the total DFT energy (no corrections): -7.3900 eV/atom. The raw formation energy comes out at -6.3 eV per formula unit. The calculation puts the density at 7.85 Mg/m³.

***

(3)
## Nd2ZrTe2N2 (PBE)

Data for a geometry-optimized Nd2ZrTe2N2 structure.

It has space group I4/mmm (No. 139), with a = 4.320 Å, b = 4.320 Å, c = 16.721 Å, α = 90.00°, β = 90.00° and γ = 90.00°. The inequivalent atoms are Nd at (0.000, 0.000, 0.101), Zr at (0.000, 0.000, 0.500), Te at (0.000, 0.000, 0.320) and N at (0.000, 0.500, 0.000).

The calculation puts the total magnetic moment at 0.00 μB per cell. As for the total DFT energy (no corrections): -7.2802 eV/atom. The raw formation energy comes out at -9.9 eV per formula unit. The calculation puts the density at 7.05 Mg/m³.

***

(4)
## NdThN2 (PBE)

Data for a geometry-optimized NdThN2 structure.

It has space group R3m (No. 160, hexagonal axes), with a = 3.6137 Å, b = 3.6137 Å, c = 18.5867 Å, α = 90.00°, β = 90.00° and γ = 120.00°. The inequivalent atoms are Nd at (0.0000, 0.0000, 0.0000), Th at (0.0000, 0.0000, 0.8268), N at (0.0000, 0.0000, 0.2361) and N at (0.0000, 0.0000, 0.4166).

The calculation puts the total magnetic moment at 0.00 μB per cell. As for the total DFT energy (no corrections): -8.5123 eV/atom. The raw formation energy comes out at -5.2 eV per formula unit. The calculation puts the density at 9.58 Mg/m³.

***

(5)
## NdThN (PBE)

Data for a geometry-optimized NdThN structure.

It has space group P3m1 (No. 156), with a = 3.6849 Å, b = 3.6849 Å, c = 6.2259 Å, α = 90.00°, β = 90.00° and γ = 120.00°. The inequivalent atoms are Nd at (0.0000, 0.0000, 0.0000), Th at (0.6667, 0.3333, 0.4507) and N at (0.3333, 0.6667, 0.2476).

The value obtained for the energy above the most stable polymorph in this dataset is 0.0 meV/atom. The calculation puts the total magnetic moment at 0.15 μB per cell. As for the total DFT energy (no corrections): -7.6667 eV/atom. The raw formation energy comes out at -2.5 eV per formula unit. The calculation puts the density at 8.85 Mg/m³.

***

(6)
## NdTh3N4 (PBE)

Data for a geometry-optimized NdTh3N4 structure.

It has space group Cmmm (No. 65), with a = 7.327 Å, b = 10.344 Å, c = 3.658 Å, α = 90.00°, β = 90.00° and γ = 90.00°. The inequivalent atoms are Nd at (0.000, 0.000, 0.000), Th at (0.000, 0.500, 0.000), Th at (0.250, 0.250, 0.500), N at (0.000, 0.255, 0.000) and N at (0.239, 0.500, 0.500).

The value obtained for the energy above the most stable polymorph in this dataset is 0.0 meV/atom. The calculation puts the total magnetic moment at 0.00 μB per cell. As for the total DFT energy (no corrections): -9.0809 eV/atom. The raw formation energy comes out at -12.3 eV per formula unit. The calculation puts the density at 10.74 Mg/m³.

***

(7)
## NdTh3N (PBE)

Data for a geometry-optimized NdTh3N structure.

It has space group Pm-3m (No. 221), with a = 5.105 Å, b = 5.105 Å, c = 5.105 Å, α = 90.00°, β = 90.00° and γ = 90.00°. The inequivalent atoms are Nd at (0.000, 0.000, 0.000), Th at (0.000, 0.500, 0.500) and N at (0.500, 0.500, 0.500).

The calculation puts the total magnetic moment at 0.00 μB per cell. As for the total DFT energy (no corrections): -7.6653 eV/atom. The raw formation energy comes out at -3.0 eV per formula unit. The calculation puts the density at 10.67 Mg/m³.

***

(8)
## Nd4Th3N8 (PBE)

Data for a geometry-optimized Nd4Th3N8 structure.

It has space group C2/m (No. 12), with a = 10.175 Å, b = 10.312 Å, c = 7.269 Å, α = 90.00°, β = 134.21° and γ = 90.00°. The inequivalent atoms are Nd at (0.000, 0.000, 0.000), Nd at (0.000, 0.000, 0.500), Nd at (0.250, 0.250, 0.000), Th at (0.000, 0.500, 0.000), Th at (0.250, 0.250, 0.500), N at (0.000, 0.238, 0.500), N at (0.000, 0.251, 0.000), N at (0.244, 0.000, 0.970) and N at (0.246, 0.000, 0.513).

The calculation puts the total magnetic moment at 0.00 μB per cell. As for the total DFT energy (no corrections): -8.4222 eV/atom. The raw formation energy comes out at -18.4 eV per formula unit. The calculation puts the density at 8.41 Mg/m³.

***

(9)
## NdThN (PBE)

Data for a geometry-optimized NdThN structure.

It has space group F-43m (No. 216), with a = 6.308 Å, b = 6.308 Å, c = 6.308 Å, α = 90.00°, β = 90.00° and γ = 90.00°. The inequivalent atoms are Nd at (0.000, 0.000, 0.000), Th at (0.000, 0.000, 0.500) and N at (0.250, 0.250, 0.250).

The value obtained for the energy above the most stable polymorph in this dataset is 670.0 meV/atom. The calculation puts the total magnetic moment at 0.01 μB per cell. As for the total DFT energy (no corrections): -6.9967 eV/atom. The raw formation energy comes out at -0.5 eV per formula unit. The calculation puts the density at 10.33 Mg/m³.

***

(10)
## NdTh6N8 (PBE)

Data for a geometry-optimized NdTh6N8 structure.

It has space group Fm-3m (No. 225), with a = 10.288 Å, b = 10.288 Å, c = 10.288 Å, α = 90.00°, β = 90.00° and γ = 90.00°. The inequivalent atoms are Nd at (0.000, 0.000, 0.000), Th at (0.000, 0.250, 0.250), N at (0.000, 0.000, 0.238) and N at (0.250, 0.250, 0.250).

The calculation puts the total magnetic moment at 0.00 μB per cell. As for the total DFT energy (no corrections): -9.0958 eV/atom. The raw formation energy comes out at -20.5 eV per formula unit. The calculation puts the density at 10.06 Mg/m³.

***

(11)
## NdThN (PBE)

Data for a geometry-optimized NdThN structure.

It has space group I4mm (No. 107), with a = 4.977 Å, b = 4.977 Å, c = 8.412 Å, α = 90.00°, β = 90.00° and γ = 90.00°. The inequivalent atoms are Nd at (0.000, 0.000, 0.000), Th at (0.000, 0.000, 0.496) and N at (0.000, 0.000, 0.258).

The value obtained for the energy above the most stable polymorph in this dataset is 1006.8 meV/atom. The calculation puts the total magnetic moment at 0.00 μB per cell. As for the total DFT energy (no corrections): -6.6599 eV/atom. The raw formation energy comes out at 0.5 eV per formula unit. The calculation puts the density at 6.22 Mg/m³.

***

(12)
## Nd3ThN4 (PBE)

Data for a geometry-optimized Nd3ThN4 structure.

It has space group Cmmm (No. 65), with a = 7.308 Å, b = 10.321 Å, c = 3.661 Å, α = 90.00°, β = 90.00° and γ = 90.00°. The inequivalent atoms are Nd at (0.000, 0.000, 0.000), Nd at (0.250, 0.250, 0.500), Th at (0.000, 0.500, 0.000), N at (0.000, 0.256, 0.000) and N at (0.240, 0.500, 0.500).

The value obtained for the energy above the most stable polymorph in this dataset is 0.0 meV/atom. The calculation puts the total magnetic moment at 0.00 μB per cell. As for the total DFT energy (no corrections): -8.3445 eV/atom. The raw formation energy comes out at -11.7 eV per formula unit. The calculation puts the density at 8.67 Mg/m³.